# 1
Computed, not measured: LuCdIr after structural relaxation at the PBE-GGA level of DFT.

It has space group I4mm (No. 107), with a = 3.5450 Å, b = 3.5450 Å, c = 9.5076 Å, α = 90.00°, β = 90.00° and γ = 90.00°. The asymmetric unit holds Lu at (0.0000, 0.0000, 0.0000), Cd at (0.0000, 0.0000, 0.3086) and Ir at (0.0000, 0.0000, 0.6412).

For the energy relative to the elements, the calculation gives -0.45 eV/atom.

---

# 2
Computed, not measured: Lu4CdIr after structural relaxation at the PBE-GGA level of DFT.

It has space group F-43m (No. 216), with a = 13.3498 Å, b = 13.3498 Å, c = 13.3498 Å, α = 90.00°, β = 90.00° and γ = 90.00°. The asymmetric unit holds Lu at (0.0000, 0.0000, 0.1875), Lu at (0.0600, 0.2500, 0.2500), Lu at (0.0995, 0.0995, 0.5995), Cd at (0.1686, 0.1686, 0.8314) and Ir at (0.1084, 0.1084, 0.3916).

For the energy relative to the elements, the calculation gives -0.55 eV/atom.

---

# 3
Computed, not measured: LuMgCdIr after structural relaxation at the PBE-GGA level of DFT.

It has space group F-43m (No. 216), with a = 6.7765 Å, b = 6.7765 Å, c = 6.7765 Å, α = 90.00°, β = 90.00° and γ = 90.00°. The asymmetric unit holds Lu at (0.0000, 0.0000, 0.0000), Mg at (0.0000, 0.0000, 0.5000), Cd at (0.2500, 0.2500, 0.2500) and Ir at (0.2500, 0.2500, 0.7500).

For the energy relative to the elements, the calculation gives -0.41 eV/atom.

---

# 4
Computed, not measured: LuCdIrPd after structural relaxation at the PBE-GGA level of DFT.

It has space group F-43m (No. 216), with a = 6.6361 Å, b = 6.6361 Å, c = 6.6361 Å, α = 90.00°, β = 90.00° and γ = 90.00°. The asymmetric unit holds Lu at (0.0000, 0.0000, 0.0000), Cd at (0.0000, 0.0000, 0.5000), Ir at (0.2500, 0.2500, 0.7500) and Pd at (0.2500, 0.2500, 0.2500).

For the energy relative to the elements, the calculation gives -0.60 eV/atom.

---

# 5
Computed, not measured: PmLuCdIr after structural relaxation at the PBE-GGA level of DFT.

It has space group F-43m (No. 216), with a = 7.1496 Å, b = 7.1496 Å, c = 7.1496 Å, α = 90.00°, β = 90.00° and γ = 90.00°. The asymmetric unit holds Pm at (0.0000, 0.0000, 0.0000), Lu at (0.0000, 0.0000, 0.5000), Cd at (0.2500, 0.2500, 0.2500) and Ir at (0.2500, 0.2500, 0.7500).

For the energy relative to the elements, the calculation gives -0.51 eV/atom.

---

# 6
Computed, not measured: PrLuCdIr after structural relaxation at the PBE-GGA level of DFT.

It has space group F-43m (No. 216), with a = 7.2083 Å, b = 7.2083 Å, c = 7.2083 Å, α = 90.00°, β = 90.00° and γ = 90.00°. The asymmetric unit holds Pr at (0.0000, 0.0000, 0.0000), Lu at (0.0000, 0.0000, 0.5000), Cd at (0.2500, 0.2500, 0.7500) and Ir at (0.2500, 0.2500, 0.2500).

For the energy relative to the elements, the calculation gives -0.47 eV/atom.

---

# 7
Computed, not measured: LuPuCdIr after structural relaxation at the PBE-GGA level of DFT.

It has space group F-43m (No. 216), with a = 7.0756 Å, b = 7.0756 Å, c = 7.0756 Å, α = 90.00°, β = 90.00° and γ = 90.00°. The asymmetric unit holds Lu at (0.0000, 0.0000, 0.0000), Pu at (0.0000, 0.0000, 0.5000), Cd at (0.2500, 0.2500, 0.2500) and Ir at (0.2500, 0.2500, 0.7500).

For the energy relative to the elements, the calculation gives -0.33 eV/atom.

---

# 8
Computed, not measured: LuScCdIr after structural relaxation at the PBE-GGA level of DFT.

It has space group F-43m (No. 216), with a = 6.8547 Å, b = 6.8547 Å, c = 6.8547 Å, α = 90.00°, β = 90.00° and γ = 90.00°. The asymmetric unit holds Lu at (0.0000, 0.0000, 0.0000), Sc at (0.0000, 0.0000, 0.5000), Cd at (0.2500, 0.2500, 0.7500) and Ir at (0.2500, 0.2500, 0.2500).

For the energy relative to the elements, the calculation gives -0.59 eV/atom.

---

# 9
Computed, not measured: SmLuCdIr after structural relaxation at the PBE-GGA level of DFT.

It has space group F-43m (No. 216), with a = 7.1291 Å, b = 7.1291 Å, c = 7.1291 Å, α = 90.00°, β = 90.00° and γ = 90.00°. The asymmetric unit holds Sm at (0.0000, 0.0000, 0.0000), Lu at (0.0000, 0.0000, 0.5000), Cd at (0.2500, 0.2500, 0.7500) and Ir at (0.2500, 0.2500, 0.2500).

For the energy relative to the elements, the calculation gives -0.53 eV/atom.

---

# 10
Computed, not measured: TbLuCdIr after structural relaxation at the PBE-GGA level of DFT.

It has space group F-43m (No. 216), with a = 7.0647 Å, b = 7.0647 Å, c = 7.0647 Å, α = 90.00°, β = 90.00° and γ = 90.00°. The asymmetric unit holds Tb at (0.0000, 0.0000, 0.0000), Lu at (0.0000, 0.0000, 0.5000), Cd at (0.2500, 0.2500, 0.7500) and Ir at (0.2500, 0.2500, 0.2500).

For the energy relative to the elements, the calculation gives -0.57 eV/atom.

---

# 11
Computed, not measured: LuThCdIr after structural relaxation at the PBE-GGA level of DFT.

It has space group F-43m (No. 216), with a = 7.2258 Å, b = 7.2258 Å, c = 7.2258 Å, α = 90.00°, β = 90.00° and γ = 90.00°. The asymmetric unit holds Lu at (0.0000, 0.0000, 0.0000), Th at (0.0000, 0.0000, 0.5000), Cd at (0.2500, 0.2500, 0.7500) and Ir at (0.2500, 0.2500, 0.2500).

For the energy relative to the elements, the calculation gives -0.44 eV/atom.

---

# 12
Computed, not measured: LuZnCdIr after structural relaxation at the PBE-GGA level of DFT.

It has space group F-43m (No. 216), with a = 6.6777 Å, b = 6.6777 Å, c = 6.6777 Å, α = 90.00°, β = 90.00° and γ = 90.00°. The asymmetric unit holds Lu at (0.0000, 0.0000, 0.0000), Zn at (0.2500, 0.2500, 0.7500), Cd at (0.0000, 0.0000, 0.5000) and Ir at (0.2500, 0.2500, 0.2500).

For the energy relative to the elements, the calculation gives -0.32 eV/atom.

---

# 13
Computed, not measured: Mg4Cd2Ir after structural relaxation at the PBE-GGA level of DFT.

It has space group I4/mmm (No. 139), with a = 4.5253 Å, b = 4.5253 Å, c = 14.2877 Å, α = 90.00°, β = 90.00° and γ = 90.00°. The asymmetric unit holds Mg at (0.0000, 0.5000, 0.1009), Cd at (0.0000, 0.0000, 0.2398) and Ir at (0.0000, 0.0000, 0.0000).

For the energy relative to the elements, the calculation gives -0.20 eV/atom.

---

# 14
Computed, not measured: MgCd4Ir after structural relaxation at the PBE-GGA level of DFT.

It has space group F-43m (No. 216), with a = 7.8239 Å, b = 7.8239 Å, c = 7.8239 Å, α = 90.00°, β = 90.00° and γ = 90.00°. The asymmetric unit holds Mg at (0.0000, 0.0000, 0.0000), Cd at (0.1246, 0.1246, 0.6246) and Ir at (0.2500, 0.2500, 0.2500).

For the energy relative to the elements, the calculation gives 0.24 eV/atom.

---

# 15
Computed, not measured: Mg8CdIr2 after structural relaxation at the PBE-GGA level of DFT.

It has space group Immm (No. 71), with a = 4.4089 Å, b = 7.4696 Å, c = 12.8594 Å, α = 90.00°, β = 90.00° and γ = 90.00°. The asymmetric unit holds Mg at (0.0000, 0.0000, 0.1542), Mg at (0.0000, 0.2106, 0.3367), Mg at (0.0000, 0.3182, 0.0000), Cd at (0.0000, 0.5000, 0.5000) and Ir at (0.0000, 0.5000, 0.1956).

For the energy relative to the elements, the calculation gives -0.23 eV/atom.

---

# 16
Computed, not measured: MgCdIr after structural relaxation at the PBE-GGA level of DFT.

It has space group Fmm2 (No. 42), with a = 3.1588 Å, b = 4.8390 Å, c = 13.9356 Å, α = 90.00°, β = 90.00° and γ = 90.00°. The asymmetric unit holds Mg at (0.0000, 0.0000, 0.0000), Cd at (0.0000, 0.0000, 0.6860) and Ir at (0.0000, 0.0000, 0.3530).

For the energy relative to the elements, the calculation gives 0.06 eV/atom. The value obtained for the energy above the lowest structure with this stoichiometry is 0.175 eV per atom.

---

# 17
Computed, not measured: MgCdIr3 after structural relaxation at the PBE-GGA level of DFT.

It has space group Pm-3m (No. 221), with a = 4.5399 Å, b = 4.5399 Å, c = 4.5399 Å, α = 90.00°, β = 90.00° and γ = 90.00°. The asymmetric unit holds Mg at (0.0000, 0.0000, 0.0000), Cd at (0.5000, 0.5000, 0.5000) and Ir at (0.0000, 0.0000, 0.5000).

For the energy relative to the elements, the calculation gives 1.40 eV/atom. The value obtained for the energy above the lowest structure with this stoichiometry is 0.000 eV per atom.

---

# 18
Computed, not measured: MgCdIr after structural relaxation at the PBE-GGA level of DFT.

It has space group Imm2 (No. 44), with a = 3.0523 Å, b = 3.8720 Å, c = 8.7992 Å, α = 90.00°, β = 90.00° and γ = 90.00°. The asymmetric unit holds Mg at (0.0000, 0.0000, 0.0000), Cd at (0.0000, 0.0000, 0.6849) and Ir at (0.0000, 0.0000, 0.3544).

For the energy relative to the elements, the calculation gives -0.11 eV/atom. The value obtained for the energy above the lowest structure with this stoichiometry is 0.007 eV per atom.

---

# 19
Computed, not measured: MgCd2Ir after structural relaxation at the PBE-GGA level of DFT.

It has space group Pm (No. 6), with a = 3.0742 Å, b = 3.9370 Å, c = 6.0790 Å, α = 90.00°, β = 90.66° and γ = 90.00°. The asymmetric unit holds Mg at (0.0000, 0.0000, 0.0000), Cd at (0.0020, 0.0000, 0.4471), Cd at (0.5018, 0.5000, 0.7194) and Ir at (0.5020, 0.5000, 0.1962).

For the energy relative to the elements, the calculation gives -0.06 eV/atom.

---

# 20
Computed, not measured: Mg5CdIr after structural relaxation at the PBE-GGA level of DFT.

It has space group C2/c (No. 15), with a = 9.0579 Å, b = 8.5150 Å, c = 9.6241 Å, α = 90.00°, β = 116.47° and γ = 90.00°. The asymmetric unit holds Mg at (0.0000, 0.1104, 0.2500), Mg at (0.1021, 0.2463, 0.6668), Mg at (0.2474, 0.4326, 0.0054), Cd at (0.0000, 0.4242, 0.2500) and Ir at (0.2500, 0.2500, 0.5000).

For the energy relative to the elements, the calculation gives 0.01 eV/atom.

---

# 21
Computed, not measured: Mg4Cd3Ir after structural relaxation at the PBE-GGA level of DFT.

It has space group P4/mmm (No. 123), with a = 3.2774 Å, b = 3.2774 Å, c = 14.6531 Å, α = 90.00°, β = 90.00° and γ = 90.00°. The asymmetric unit holds Mg at (0.0000, 0.0000, 0.0967), Mg at (0.0000, 0.0000, 0.3629), Cd at (0.5000, 0.5000, 0.2280), Cd at (0.5000, 0.5000, 0.5000) and Ir at (0.5000, 0.5000, 0.0000).

For the energy relative to the elements, the calculation gives -0.19 eV/atom.

---

# 22
Computed, not measured: MgCd2Ir after structural relaxation at the PBE-GGA level of DFT.

It has space group F-43m (No. 216), with a = 6.6177 Å, b = 6.6177 Å, c = 6.6177 Å, α = 90.00°, β = 90.00° and γ = 90.00°. The asymmetric unit holds Mg at (0.0000, 0.0000, 0.0000), Cd at (0.0000, 0.0000, 0.5000), Cd at (0.2500, 0.2500, 0.2500) and Ir at (0.2500, 0.2500, 0.7500).

For the energy relative to the elements, the calculation gives -0.05 eV/atom.

---

# 23
Computed, not measured: MgCdIr after structural relaxation at the PBE-GGA level of DFT.

It has space group I4mm (No. 107), with a = 3.2598 Å, b = 3.2598 Å, c = 9.8262 Å, α = 90.00°, β = 90.00° and γ = 90.00°. The asymmetric unit holds Mg at (0.0000, 0.0000, 0.0000), Cd at (0.0000, 0.0000, 0.6924) and Ir at (0.0000, 0.0000, 0.3620).

For the energy relative to the elements, the calculation gives -0.12 eV/atom. The value obtained for the energy above the lowest structure with this stoichiometry is 0.000 eV per atom.

---

# 24
Computed, not measured: MgCdIr4 after structural relaxation at the PBE-GGA level of DFT.

It has space group F-43m (No. 216), with a = 7.4177 Å, b = 7.4177 Å, c = 7.4177 Å, α = 90.00°, β = 90.00° and γ = 90.00°. The asymmetric unit holds Mg at (0.0000, 0.0000, 0.0000), Cd at (0.2500, 0.2500, 0.7500) and Ir at (0.1251, 0.1251, 0.3749).

For the energy relative to the elements, the calculation gives 0.03 eV/atom.

---

# 25
Computed, not measured: Mg6Cd2Ir after structural relaxation at the PBE-GGA level of DFT.

It has space group C2/m (No. 12), with a = 15.1529 Å, b = 8.0930 Å, c = 3.1665 Å, α = 90.00°, β = 100.95° and γ = 90.00°. The asymmetric unit holds Mg at (0.0000, 0.2258, 0.0000), Mg at (0.1607, 0.3207, 0.6546), Cd at (0.1624, 0.0000, 0.1583) and Ir at (0.0000, 0.5000, 0.5000).

For the energy relative to the elements, the calculation gives -0.07 eV/atom. The value obtained for the energy above the lowest structure with this stoichiometry is 0.000 eV per atom.

---

# 26
Computed, not measured: Mg2CdIr2 after structural relaxation at the PBE-GGA level of DFT.

It has space group P4/mbm (No. 127), with a = 7.6862 Å, b = 7.6862 Å, c = 2.8806 Å, α = 90.00°, β = 90.00° and γ = 90.00°. The asymmetric unit holds Mg at (0.1278, 0.3722, 0.0000), Cd at (0.0000, 0.0000, 0.0000) and Ir at (0.1698, 0.6698, 0.5000).

For the energy relative to the elements, the calculation gives -0.06 eV/atom. The value obtained for the energy above the lowest structure with this stoichiometry is 0.088 eV per atom.

---

# 27
Computed, not measured: MgCdIr after structural relaxation at the PBE-GGA level of DFT.

It has space group F-43m (No. 216), with a = 6.3179 Å, b = 6.3179 Å, c = 6.3179 Å, α = 90.00°, β = 90.00° and γ = 90.00°. The asymmetric unit holds Mg at (0.0000, 0.0000, 0.0000), Cd at (0.0000, 0.0000, 0.5000) and Ir at (0.2500, 0.2500, 0.7500).

For the energy relative to the elements, the calculation gives 0.08 eV/atom. The value obtained for the energy above the lowest structure with this stoichiometry is 0.202 eV per atom.

---

One value per record, in order, for DOS(E_F): 4.2 71.4 11.4 5.3 11.0 10.2 29.6 11.6 11.3 10.4 15.5 11.1 4.9 11.2 8.0 5.1 4.9 3.3 1.2 13.6 2.4 10.2 3.1 25.8 7.2 5.1 6.5 states/eV per cell.
One value per record, in order, for total magnetic moment: 0.000 0.000 0.000 0.000 0.003 0.000 20.815 0.000 0.000 0.000 0.001 0.000 0.000 0.000 0.000 0.000 0.000 0.000 0.000 0.000 0.000 0.000 0.000 0.001 0.000 0.000 0.000 Bohr magnetons per cell.